A plane-wave DFT calculation with SCAN was carried out for Ca2YSb at its PBEsol-relaxed geometry.

Calculated values
**Raw formation energy**: -0.4786 eV per atom
**SG**: I4/mmm

a b c (Å): 4.5694 4.5694 6.4993
angles (deg): 110.58 110.58 90.00
Fractional positions:
1 Ca 0.2500 0.7500 0.5000
2 Ca 0.7500 0.2500 0.5000
3 Y 0.0000 0.0000 0.0000
4 Sb 0.5000 0.5000 0.0000

A plane-wave DFT calculation with SCAN was carried out for CaY3Sb at its PBEsol-relaxed geometry.

Calculated values
**Raw formation energy**: 0.8286 eV per atom
**SG**: Pm-3m

a b c (Å): 5.3579 5.3579 5.3579
angles (deg): 90.00 90.00 90.00
Fractional positions:
1 Y 0.0000 0.5000 0.0000
2 Y 0.5000 0.0000 0.0000
3 Ca 0.0000 0.0000 0.0000
4 Sb 0.5000 0.5000 0.5000
5 Y 0.0000 0.0000 0.5000

A plane-wave DFT calculation with SCAN was carried out for Ca2ZnSb at its PBEsol-relaxed geometry.

Calculated values
**Raw formation energy**: -0.7320 eV per atom
**SG**: Amm2

a b c (Å): 4.3307 4.3934 6.0822
angles (deg): 111.17 90.00 90.00
Fractional positions:
1 Zn 0.0000 0.2931 0.5862
2 Ca 0.0000 0.0180 0.0360
3 Sb 0.5000 0.4517 0.9035
4 Ca 0.5000 0.7372 0.4743

A plane-wave DFT calculation with SCAN was carried out for CaZnSb2 at its PBEsol-relaxed geometry.

Calculated values
**Raw formation energy**: -0.2797 eV per atom
**SG**: Cmmm

a b c (Å): 3.3913 5.4121 5.4121
angles (deg): 103.82 90.00 90.00
Fractional positions:
1 Sb 0.0000 0.0000 0.5000
2 Zn 0.5000 0.0000 0.0000
3 Sb 0.0000 0.5000 0.0000
4 Ca 0.5000 0.5000 0.5000